A PBEsol-optimized structure of La3OF. Source: Alexandria, functional SCAN.

The structure belongs to space group Pm-3m (No. 221); the cell edges are 4.8758, 4.8758 and 4.8758 Å and the angles 90.00°, 90.00° and 90.00°. The asymmetric unit holds La at (0.0000, 0.0000, 0.5000), O at (0.0000, 0.0000, 0.0000) and F at (0.5000, 0.5000, 0.5000).

A PBEsol-optimized structure of La2PdO2F2. Source: Alexandria, functional SCAN.

The structure belongs to space group I4/mmm (No. 139); the cell edges are 4.1338, 4.1338 and 12.3561 Å and the angles 90.00°, 90.00° and 90.00°. The asymmetric unit holds La at (0.0000, 0.0000, 0.1276), Pd at (0.0000, 0.0000, 0.5000), O at (0.0000, 0.5000, 0.0000) and F at (0.0000, 0.5000, 0.2500).

A PBEsol-optimized structure of RbLaOF2. Source: Alexandria, functional SCAN.

The structure belongs to space group P4/mmm (No. 123); the cell edges are 4.5638, 4.5638 and 4.9325 Å and the angles 90.00°, 90.00° and 90.00°. The asymmetric unit holds Rb at (0.0000, 0.0000, 0.0000), La at (0.5000, 0.5000, 0.5000), O at (0.0000, 0.0000, 0.5000) and F at (0.0000, 0.5000, 0.0000).

Number 1: D(E_F) 5.99 states/eV/f.u., final energy -29.315 eV per atom, formation energy without anion corrections -1.50 eV per atom. Number 2: D(E_F) 2.74 states/eV/f.u., final energy -22.737 eV per atom, formation energy without anion corrections -2.95 eV per atom. Number 3: D(E_F) 2.92 states/eV/f.u., final energy -17.298 eV per atom, formation energy without anion corrections -1.87 eV per atom.